Record 1
DFT (PBE-GGA) results for crystalline NdCu6Pd2 at its relaxed geometry.

Cell: 6.9821 6.9821 6.9821 Å, 146.62 127.75 63.43°
With the nearest neighbours (Å) after each atom.
Element x y z (fractional)
Nd (0.0000, 0.0000, 0.0000)  4 Cu 2.80
Cu (0.0221, 0.3075, 0.7146)  4 Cu 2.37-2.64, 1 Pd 2.60
Cu (0.3168, 0.5000, 0.8168)  3 Cu 2.25-2.37
Cu (0.4070, 0.6925, 0.7146)  4 Cu 2.37-2.64, 1 Pd 2.60
Cu (0.5930, 0.3075, 0.2854)  4 Cu 2.37-2.64, 1 Pd 2.60
Cu (0.6832, 0.5000, 0.1832)  3 Cu 2.25-2.37
Cu (0.9779, 0.6925, 0.2854)  4 Cu 2.37-2.64, 1 Pd 2.60
Pd (0.3808, 0.8808, 0.5000)  10 Cu 2.60-2.80, 1 Pd 2.83
Pd (0.6192, 0.1192, 0.5000)  10 Cu 2.60-2.80, 1 Pd 2.83

---

Record 2
DFT (PBE-GGA) results for crystalline Nd2Cu2Pd3 at its relaxed geometry.

Cell: 9.6323 9.6323 7.3058 Å, 90.00 90.00 155.49°
With the nearest neighbours (Å) after each atom.
Element x y z (fractional)
Nd (0.0625, 0.9375, 0.7500)  5 Pd 2.95-3.07
Nd (0.1597, 0.8403, 0.2500)  6 Pd 3.03-3.06, 6 Cu 3.06-3.07
Nd (0.8403, 0.1597, 0.7500)  6 Pd 3.03-3.06, 6 Cu 3.06-3.07
Nd (0.9375, 0.0625, 0.2500)  5 Pd 2.95-3.07
Cu (0.3019, 0.6981, 0.0470)  4 Pd 2.56-2.67
Cu (0.3019, 0.6981, 0.4530)  4 Pd 2.56-2.67
Cu (0.6981, 0.3019, 0.5470)  4 Pd 2.56-2.67
Cu (0.6981, 0.3019, 0.9530)  4 Pd 2.56-2.67
Pd (0.2194, 0.7806, 0.7500)  6 Cu 2.56-2.67
Pd (0.4346, 0.5654, 0.5633)  1 Cu 2.62, 2 Pd 2.63-2.73
Pd (0.4346, 0.5654, 0.9367)  1 Cu 2.62, 2 Pd 2.63-2.73
Pd (0.5654, 0.4346, 0.0633)  1 Cu 2.62, 2 Pd 2.63-2.73
Pd (0.5654, 0.4346, 0.4367)  1 Cu 2.62, 2 Pd 2.63-2.73
Pd (0.7806, 0.2194, 0.2500)  6 Cu 2.56-2.67

---

Record 3
DFT (PBE-GGA) results for crystalline NdCuPd2 at its relaxed geometry.

Cell: 15.1773 7.2084 5.4787 Å, 90.00 90.00 90.00°
With the nearest neighbours (Å) after each atom.
Element x y z (fractional)
Nd (0.1072, 0.2500, 0.2334)  3 Cu 2.89-3.04, 4 Pd 3.07-3.10
Nd (0.1427, 0.7500, 0.4842)  3 Cu 2.90-3.04, 6 Pd 3.05-3.15
Nd (0.3573, 0.2500, 0.9842)  3 Cu 2.90-3.04, 6 Pd 3.05-3.15
Nd (0.3928, 0.7500, 0.7334)  3 Cu 2.89-3.04, 4 Pd 3.07-3.10
Nd (0.6072, 0.2500, 0.2666)  3 Cu 2.89-3.04, 4 Pd 3.07-3.10
Nd (0.6427, 0.7500, 0.0158)  3 Cu 2.90-3.04, 6 Pd 3.05-3.15
Nd (0.8573, 0.2500, 0.5158)  3 Cu 2.90-3.04, 6 Pd 3.05-3.15
Nd (0.8928, 0.7500, 0.7666)  3 Cu 2.89-3.04, 4 Pd 3.07-3.10
Cu (0.0709, 0.7500, 0.9934)  6 Pd 2.61-2.63, 1 Nd 2.90
Cu (0.1815, 0.2500, 0.7190)  6 Pd 2.57-2.64
Cu (0.3185, 0.7500, 0.2190)  6 Pd 2.57-2.64
Cu (0.4291, 0.2500, 0.4934)  6 Pd 2.61-2.63, 1 Nd 2.90
Cu (0.5709, 0.7500, 0.5066)  6 Pd 2.61-2.63, 1 Nd 2.90
Cu (0.6815, 0.2500, 0.7810)  6 Pd 2.57-2.64
Cu (0.8185, 0.7500, 0.2810)  6 Pd 2.57-2.64
Cu (0.9291, 0.2500, 0.0066)  6 Pd 2.61-2.63, 1 Nd 2.90
Pd (0.0359, 0.0509, 0.7398)  3 Cu 2.61-2.64, 1 Pd 2.87
Pd (0.0359, 0.4491, 0.7398)  3 Cu 2.61-2.64, 1 Pd 2.87
Pd (0.2139, 0.5502, 0.9557)  3 Cu 2.57-2.61
Pd (0.2139, 0.9498, 0.9557)  3 Cu 2.57-2.61
Pd (0.2861, 0.0502, 0.4557)  3 Cu 2.57-2.61
Pd (0.2861, 0.4498, 0.4557)  3 Cu 2.57-2.61
Pd (0.4641, 0.5509, 0.2398)  3 Cu 2.61-2.64, 1 Pd 2.87
Pd (0.4641, 0.9491, 0.2398)  3 Cu 2.61-2.64, 1 Pd 2.87
Pd (0.5359, 0.0509, 0.7602)  3 Cu 2.61-2.64, 1 Pd 2.87
Pd (0.5359, 0.4491, 0.7602)  3 Cu 2.61-2.64, 1 Pd 2.87
Pd (0.7139, 0.5502, 0.5443)  3 Cu 2.57-2.61
Pd (0.7139, 0.9498, 0.5443)  3 Cu 2.57-2.61
Pd (0.7861, 0.0502, 0.0443)  3 Cu 2.57-2.61
Pd (0.7861, 0.4498, 0.0443)  3 Cu 2.57-2.61
Pd (0.9641, 0.5509, 0.2602)  3 Cu 2.61-2.64, 1 Pd 2.87
Pd (0.9641, 0.9491, 0.2602)  3 Cu 2.61-2.64, 1 Pd 2.87

---

Record 4
DFT (PBE-GGA) results for crystalline Nd2Cu3Pd4 at its relaxed geometry.

Cell: 8.1473 7.2172 5.2636 Å, 79.83 60.68 39.49°
With the nearest neighbours (Å) after each atom.
Element x y z (fractional)
Nd (0.1424, 0.1424, 0.8576)  8 Pd 3.02-3.07, 6 Cu 3.22-3.26
Nd (0.8576, 0.8576, 0.1424)  8 Pd 3.02-3.07, 6 Cu 3.22-3.26
Cu (0.0000, 0.0000, 0.5000)  4 Cu 2.59-2.63, 4 Pd 2.67
Cu (0.5000, 0.5000, 0.0000)  4 Cu 2.59-2.63, 4 Pd 2.67
Cu (0.5000, 0.5000, 0.5000)  4 Cu 2.63, 4 Pd 2.68
Pd (0.1704, 0.5024, 0.4976)  3 Cu 2.67-2.68, 1 Pd 2.79
Pd (0.4976, 0.8296, 0.1704)  3 Cu 2.67-2.68, 1 Pd 2.79
Pd (0.5024, 0.1704, 0.8296)  3 Cu 2.67-2.68, 1 Pd 2.79
Pd (0.8296, 0.4976, 0.5024)  3 Cu 2.67-2.68, 1 Pd 2.79

---

Record 5
DFT (PBE-GGA) results for crystalline NdCu4Pd at its relaxed geometry.

Cell: 5.2563 5.2563 5.2563 Å, 57.15 57.15 57.15°
With the nearest neighbours (Å) after each atom.
Element x y z (fractional)
Nd (0.0000, 0.0000, 0.0000)  3 Pd 2.95, 13 Cu 3.03-3.20
Cu (0.1325, 0.6304, 0.6304)  4 Cu 2.50-2.52, 2 Pd 2.59-2.66
Cu (0.2306, 0.2306, 0.2306)  6 Cu 2.83, 3 Pd 3.02, 1 Nd 3.03
Cu (0.6304, 0.1325, 0.6304)  4 Cu 2.50-2.52, 2 Pd 2.59-2.66
Cu (0.6304, 0.6304, 0.1325)  4 Cu 2.50-2.52, 2 Pd 2.59-2.66
Pd (0.6281, 0.6281, 0.6281)  6 Cu 2.59-2.66

---

Record 6
DFT (PBE-GGA) results for crystalline Nd8CuPd2 at its relaxed geometry.

Cell: 9.6330 9.6330 6.8829 Å, 107.87 107.87 31.66°
With the nearest neighbours (Å) after each atom.
Element x y z (fractional)
Nd (0.0273, 0.0273, 0.2891)  1 Pd 2.82, 2 Cu 3.12
Nd (0.2011, 0.2011, 0.8397)  1 Pd 2.95
Nd (0.3276, 0.3276, 0.4962)  3 Pd 2.87-3.21, 1 Cu 3.19
Nd (0.4082, 0.4082, 0.0335)  1 Cu 3.12, 2 Pd 3.28
Nd (0.5918, 0.5918, 0.9665)  1 Cu 3.12, 2 Pd 3.28
Nd (0.6724, 0.6724, 0.5038)  3 Pd 2.87-3.21, 1 Cu 3.19
Nd (0.7989, 0.7989, 0.1603)  1 Pd 2.95
Nd (0.9727, 0.9727, 0.7109)  1 Pd 2.82, 2 Cu 3.12
Cu (0.5000, 0.5000, 0.5000)  8 Nd 3.12-3.19
Pd (0.1717, 0.1717, 0.2357)  3 Nd 2.82-2.95
Pd (0.8283, 0.8283, 0.7643)  3 Nd 2.82-2.95

---

Record 7
DFT (PBE-GGA) results for crystalline NdCu4Pd2 at its relaxed geometry.

Cell: 5.8075 5.8075 5.8075 Å, 102.79 102.79 123.87°
With the nearest neighbours (Å) after each atom.
Element x y z (fractional)
Nd (0.0000, 0.0000, 0.0000)  8 Cu 3.17
Cu (0.2777, 0.5000, 0.7777)  2 Cu 2.28, 2 Pd 2.43
Cu (0.5000, 0.2777, 0.7777)  2 Cu 2.28, 2 Pd 2.43
Cu (0.5000, 0.7223, 0.2223)  2 Cu 2.28, 2 Pd 2.43
Cu (0.7223, 0.5000, 0.2223)  2 Cu 2.28, 2 Pd 2.43
Pd (0.2500, 0.7500, 0.5000)  4 Cu 2.43
Pd (0.7500, 0.2500, 0.5000)  4 Cu 2.43

---

Record 8
DFT (PBE-GGA) results for crystalline Nd3Cu9Pd2 at its relaxed geometry.

Cell: 8.0446 8.0446 8.0446 Å, 149.30 113.47 75.04°
With the nearest neighbours (Å) after each atom.
Element x y z (fractional)
Nd (0.0000, 0.0000, 0.0000)  4 Cu 2.92
Nd (0.3068, 0.3068, 0.0000)  12 Cu 2.98-3.26, 2 Pd 3.04
Nd (0.6932, 0.6932, 0.0000)  12 Cu 2.98-3.26, 2 Pd 3.04
Cu (0.0322, 0.6773, 0.3549)  4 Cu 2.52-2.61, 1 Pd 2.63
Cu (0.1525, 0.8750, 0.2775)  4 Cu 2.52-2.61, 2 Pd 2.67
Cu (0.3224, 0.6773, 0.6451)  4 Cu 2.52-2.61, 1 Pd 2.63
Cu (0.4024, 0.1250, 0.2775)  4 Cu 2.52-2.61, 2 Pd 2.67
Cu (0.5000, 0.0000, 0.5000)  4 Cu 2.53, 4 Pd 2.78
Cu (0.5976, 0.8750, 0.7225)  4 Cu 2.52-2.61, 2 Pd 2.67
Cu (0.6776, 0.3227, 0.3549)  4 Cu 2.52-2.61, 1 Pd 2.63
Cu (0.8475, 0.1250, 0.7225)  4 Cu 2.52-2.61, 2 Pd 2.67
Cu (0.9678, 0.3227, 0.6451)  4 Cu 2.52-2.61, 1 Pd 2.63
Pd (0.2976, 0.5000, 0.7976)  8 Cu 2.63-2.78
Pd (0.7024, 0.5000, 0.2024)  8 Cu 2.63-2.78

---

Q: Which uncorrected energy values were calculated for the entries above? A: -4.4273; -5.2960; -5.3975; -5.2652; -4.6616; -5.0715; -4.2786; -4.6725, in eV per atom.
Q: Which total magnetic moment values were calculated for the entries above? A: 0.0; 0.0; 0.0; 0.0; 0.0; 0.0; 0.0; 0.0, in Bohr magnetons per cell.
Q: Which DFT formation energy values were calculated for the entries above? A: -0.1; -3.8; -2.3; -4.8; -1.6; -3.2; 1.6; -3.9, in eV/f.u..